[1]
CoIr at its PBEsol-relaxed geometry. Source: the Alexandria database, functional meta-GGA SCAN.

The space group is Pnma (No. 62) and the conventional cell measures 4.530, 4.185 and 5.151 Å, with angles of 90.00, 90.00 and 90.00 degrees. The inequivalent atoms are Co at (0.082, 0.250, 0.125) and Ir at (0.091, 0.250, 0.627).

=====

[2]
CoIr2 at its PBEsol-relaxed geometry. Source: the Alexandria database, functional meta-GGA SCAN.

The space group is C2/m (No. 12) and the conventional cell measures 9.624, 2.681 and 6.228 Å, with angles of 90.00, 104.78 and 90.00 degrees. The inequivalent atoms are Co at (0.028, 0.000, 0.309), Ir at (0.137, 0.500, 0.029) and Ir at (0.189, 0.500, 0.633).

=====

[3]
CoIr2 at its PBEsol-relaxed geometry. Source: the Alexandria database, functional meta-GGA SCAN.

The space group is P-3m1 (No. 164) and the conventional cell measures 2.6642, 2.6642 and 6.3429 Å, with angles of 90.00, 90.00 and 120.00 degrees. The inequivalent atoms are Co at (0.0000, 0.0000, 0.0000) and Ir at (0.3333, 0.6667, 0.3221).

=====

[4]
Co5Ir at its PBEsol-relaxed geometry. Source: the Alexandria database, functional meta-GGA SCAN.

The space group is Cm (No. 8) and the conventional cell measures 9.147, 2.541 and 5.921 Å, with angles of 90.00, 104.76 and 90.00 degrees. The inequivalent atoms are Co at (0.000, 0.000, 0.000), Co at (0.053, 0.000, 0.598), Co at (0.167, 0.500, 0.336), Co at (0.337, 0.000, 0.656), Co at (0.392, 0.000, 0.279) and Ir at (0.221, 0.500, 0.937).

=====

The evaluated magnetic moment for the records listed, in turn: 1.9 2.3 1.9 9.0 μB/f.u..
The evaluated energy of formation from the pure elements for the records listed, in turn: 0.028 0.021 0.027 0.038 eV/atom.